Mg3Cd | Alexandria via LeMat-Bulk | PBE | relaxed; crystal system = orthorhombic; energy of formation from the pure elements = -0.057 eV/atom; SG = Cmcm, No. 63
1.0
-2.172 -2.700 5.210
-2.852 -1.024 -5.414
3.120 -4.163 -0.856
Mg Cd
6 2
direct
0.999 0.000 0.000
0.840 0.669 0.500
0.494 0.498 0.000
0.840 0.171 0.500
0.334 0.167 0.500
0.494 0.996 0.000
0.347 0.674 0.500
0.986 0.493 0.000

=====

K2Y2PbO6 | Alexandria via LeMat-Bulk | PBE | relaxed; crystal system = monoclinic; ΔE_f (raw) = -2247 meV/atom; SG = C2/m, No. 12
1.0
-5.470 -2.218 0.946
4.825 -3.176 1.539
0.119 4.393 5.026
K O Y Pb
2 6 2 1
direct
0.165 0.835 0.000
0.835 0.165 0.000
0.385 0.050 0.679
0.950 0.615 0.321
0.615 0.950 0.321
0.050 0.385 0.679
0.739 0.739 0.678
0.261 0.261 0.322
0.666 0.334 0.500
0.334 0.666 0.500
0.000 0.000 0.500

=====

TaTc2Se | Alexandria via LeMat-Bulk | PBE | relaxed; crystal system = orthorhombic; ΔE_f (raw) = 112 meV/atom; SG = Pmmm, No. 47
1.0
-2.988 0.230 0.825
-0.885 -3.215 -2.308
0.864 -3.105 3.993
Tc Se Ta
2 1 1
direct
0.000 0.000 0.997
0.000 0.000 0.503
0.500 0.500 0.250
0.500 0.500 0.750

=====

CrCdPb2 | Alexandria via LeMat-Bulk | PBE | relaxed; crystal system = tetragonal; energy of formation from the pure elements = 0.356 eV/atom; SG = P4/mmm, No. 123
1.0
-2.133 2.233 -1.415
-0.415 -2.079 -2.654
-6.824 -3.905 4.127
Cr Cd Pb
1 1 2
direct
0.500 0.500 0.750
0.500 0.500 0.250
0.000 0.000 0.964
0.000 0.000 0.536

=====

TlNi2Ag | Alexandria via LeMat-Bulk | PBE | relaxed; crystal system = cubic; energy of formation from the pure elements = 0.359 eV/atom; SG = F-43m, No. 216
1.0
4.464 0.000 0.000
2.232 3.866 0.000
2.232 1.289 3.645
Ni Ag Tl
2 1 1
direct
0.000 0.000 0.000
0.250 0.250 0.250
0.500 0.500 0.500
0.750 0.750 0.750

=====

SrAg2Os | Alexandria via LeMat-Bulk | PBE | relaxed; crystal system = cubic; energy of formation from the pure elements = 0.817 eV/atom; SG = F-43m, No. 216
1.0
-0.844 0.260 4.843
-3.723 -2.534 1.990
0.927 -3.889 2.872
Sr Ag Os
1 2 1
direct
0.750 0.750 0.750
0.000 0.000 0.000
0.250 0.250 0.250
0.500 0.500 0.500

=====

LaYMg14 | Alexandria via LeMat-Bulk | PBE | relaxed; crystal system = hexagonal; energy of formation from the pure elements = 0.002 eV/atom; SG = P-6m2, No. 187
1.0
-1.633 1.502 6.305
1.104 -6.357 -1.742
10.051 1.104 2.341
Y Mg La
1 14 1
direct
0.000 0.000 0.000
0.171 0.829 0.754
0.667 0.333 0.746
0.494 0.987 0.500
0.657 0.829 0.246
0.657 0.829 0.754
0.013 0.506 0.500
0.494 0.506 0.500
0.171 0.343 0.754
0.004 0.502 0.000
0.171 0.343 0.246
0.171 0.829 0.246
0.498 0.502 0.000
0.498 0.996 0.000
0.667 0.333 0.254
0.000 0.000 0.500

=====

TaTc2B2 | Alexandria via LeMat-Bulk | PBE | relaxed; crystal system = tetragonal; energy of formation from the pure elements = -0.348 eV/atom; SG = P4/mbm, No. 127
1.0
-1.861 5.925 0.332
-5.808 -1.890 1.174
0.586 0.020 2.930
Tc B Ta
4 4 2
direct
0.840 0.340 0.500
0.340 0.160 0.500
0.660 0.840 0.500
0.160 0.660 0.500
0.377 0.877 0.000
0.623 0.123 0.000
0.877 0.623 0.000
0.123 0.377 0.000
0.000 0.000 0.000
0.500 0.500 0.000